No. 1
18
Lattice="3.621 2.090 5.422 -3.621 2.090 5.422 0.000 -4.181 5.422" Properties=species:S:1:pos:R:3 comment="GGA-PBE Sr2PaIr3O12, optimized geometry" crystal_system=trigonal pbc="T T T"
Sr 0.000 0.000 1.867
Sr 0.000 0.000 14.398
Pa 0.000 0.000 8.132
Ir -1.810 -1.045 5.422
Ir -1.810 1.045 10.843
Ir 0.000 2.090 5.422
O -1.839 -1.062 7.381
O 0.000 -1.788 5.516
O -1.548 0.894 5.516
O -1.548 -0.894 10.748
O 0.000 -2.124 8.884
O -1.839 1.062 8.884
O 1.839 -1.062 7.381
O 0.000 2.124 7.381
O 1.548 0.894 5.516
O 1.548 -0.894 10.748
O 0.000 1.788 10.748
O 1.839 1.062 8.884



No. 2
12
Lattice="5.447 0.000 0.000 -2.724 4.718 0.000 0.000 0.000 6.689" Properties=species:S:1:pos:R:3 comment="GGA-PBE SrPa2IrO8, optimized geometry" crystal_system=trigonal pbc="T T T"
Sr 0.000 0.000 0.000
Pa 0.000 3.145 2.537
Pa 2.724 1.573 4.152
Ir 0.000 0.000 3.344
O 0.000 1.666 4.412
O -1.281 3.885 4.412
O 0.000 3.145 0.645
O 1.443 0.833 2.277
O 1.281 3.885 4.412
O 2.724 1.573 6.044
O 4.005 0.833 2.277
O 2.724 3.052 2.277



No. 3
12
Lattice="3.530 -3.618 0.000 3.530 3.618 0.000 0.000 0.000 6.804" Properties=species:S:1:pos:R:3 comment="GGA-PBE Tb2PaIrO8, optimized geometry" crystal_system=orthorhombic pbc="T T T"
Tb 0.000 0.000 1.652
Tb 0.000 0.000 5.152
Pa 3.530 0.000 3.402
Ir 3.530 0.000 0.000
O 1.402 0.000 3.402
O 1.605 0.000 0.000
O 3.530 1.317 1.586
O 3.530 1.317 5.218
O 3.530 -1.317 1.586
O 3.530 -1.317 5.218
O 5.455 0.000 0.000
O 5.659 0.000 3.402



No. 4
18
Lattice="5.410 0.000 0.000 -2.705 4.685 0.000 0.000 0.000 10.075" Properties=species:S:1:pos:R:3 comment="GGA-PBE TbPaIrO6, optimized geometry" crystal_system=trigonal pbc="T T T"
Tb 0.000 0.000 0.000
Tb 0.000 0.000 5.037
Pa 0.000 3.123 2.519
Pa 2.705 1.562 7.556
Ir 0.000 3.123 7.556
Ir 2.705 1.562 2.519
O -0.835 1.669 6.400
O -1.677 3.127 8.712
O 0.835 1.669 8.712
O -0.842 4.574 6.400
O 1.863 0.111 1.362
O 1.028 1.558 3.675
O 1.677 3.127 6.400
O 0.842 4.574 8.712
O 3.547 0.111 3.675
O 1.870 3.016 1.362
O 4.382 1.558 1.362
O 3.540 3.016 3.675



No. 5
12
Lattice="5.790 0.000 0.000 -2.895 5.015 0.000 0.000 0.000 7.305" Properties=species:S:1:pos:R:3 comment="GGA-PBE PaTlIr2O8, optimized geometry" crystal_system=trigonal pbc="T T T"
Pa 0.000 0.000 0.000
Tl 0.000 0.000 3.652
Ir 0.000 3.343 6.935
Ir 2.895 1.672 0.370
O -0.648 1.910 0.873
O -0.917 4.621 0.873
O 0.000 3.343 5.138
O 1.330 1.516 6.432
O 1.565 3.499 0.873
O 2.895 1.672 2.167
O 3.813 0.394 6.432
O 3.543 3.105 6.432



No. 6
14
Lattice="-2.803 3.462 6.249 2.803 -3.462 6.249 2.803 3.462 -6.249" Properties=species:S:1:pos:R:3 comment="GGA-PBE PaTlIrO4, optimized geometry" crystal_system=orthorhombic pbc="T T T"
Pa 0.000 0.000 0.000
Pa 0.000 3.462 0.000
Tl 2.803 1.731 2.341
Tl 0.000 1.731 3.908
Ir 1.402 1.731 -3.125
Ir 1.402 -1.731 3.125
O 2.803 2.968 -3.994
O 2.803 -0.494 3.994
O 1.268 1.731 0.302
O 1.535 -1.731 6.551
O 1.268 5.193 -0.302
O 1.535 1.731 5.947
O 0.000 3.956 2.256
O 0.000 0.494 10.243



No. 7
12
Lattice="5.394 0.000 0.000 -2.697 4.671 0.000 0.000 0.000 7.801" Properties=species:S:1:pos:R:3 comment="GGA-PBE Pa2TlIrO8, optimized geometry" crystal_system=trigonal pbc="T T T"
Pa 0.000 3.114 2.952
Pa 2.697 1.557 4.849
Tl 0.000 0.000 0.000
Ir 0.000 0.000 3.900
O 0.000 1.661 4.921
O -1.258 3.840 4.921
O 0.000 3.114 1.082
O 1.439 0.831 2.880
O 1.258 3.840 4.921
O 2.697 1.557 6.719
O 3.955 0.831 2.880
O 2.697 3.010 2.880



No. 8
18
Lattice="3.632 2.097 6.357 -3.632 2.097 6.357 0.000 -4.194 6.357" Properties=species:S:1:pos:R:3 comment="GGA-PBE PaTl2Ir3O12, optimized geometry" crystal_system=trigonal pbc="T T T"
Pa 0.000 0.000 0.000
Tl 0.000 0.000 6.564
Tl 0.000 0.000 12.508
Ir -3.632 0.000 9.536
Ir -1.816 1.049 3.179
Ir 1.816 1.049 3.179
O -2.240 -1.293 9.312
O 0.000 -2.401 5.132
O -2.079 1.200 5.132
O 0.000 -2.587 9.760
O -2.240 1.293 9.760
O -2.079 -1.200 13.940
O 2.079 1.200 5.132
O 2.240 -1.293 9.312
O 0.000 2.587 9.312
O 2.079 -1.200 13.940
O 0.000 2.401 13.940
O 2.240 1.293 9.760



Taking the records one at a time from the top gives E_form (uncorrected) values of -38.797, -56.094, -61.695, -59.156, -25.437, -42.216, -47.130, -27.946 kcal/mol of atoms.